# 1
Ho3ThSn3 after structural relaxation. Source: the Alexandria database, functional PBE-GGA.

```
data_Ho3ThSn3
_symmetry_space_group_name_H-M 'P 63/m'
_symmetry_Int_Tables_number 176
_symmetry_space_group_name_Hall '-P 6c'
_cell_length_a 9.1392
_cell_length_b 9.1392
_cell_length_c 5.4451
_cell_angle_alpha 90.00
_cell_angle_beta 90.00
_cell_angle_gamma 120.00
loop_
_atom_site_label
_atom_site_type_symbol
_atom_site_fract_x
_atom_site_fract_y
_atom_site_fract_z
Ho1 Ho 0.0062 0.2407 0.2500
Th1 Th 0.3333 0.6667 0.2500
Sn1 Sn 0.0740 0.4475 0.7500
```

Calculated values
- Raw total energy: -5.240 eV/atom

# 2
Ho2ThZn2Sn2 after structural relaxation. Source: the Alexandria database, functional PBE-GGA.

```
data_Ho2ThZn2Sn2
_symmetry_space_group_name_H-M 'R -3 m'
_symmetry_Int_Tables_number 166
_symmetry_space_group_name_Hall '-R 3 2"'
_cell_length_a 4.5918
_cell_length_b 4.5918
_cell_length_c 29.5095
_cell_angle_alpha 90.00
_cell_angle_beta 90.00
_cell_angle_gamma 120.00
loop_
_atom_site_label
_atom_site_type_symbol
_atom_site_fract_x
_atom_site_fract_y
_atom_site_fract_z
Ho1 Ho 0.0000 0.0000 0.1299
Th1 Th 0.0000 0.0000 0.0000
Zn1 Zn 0.0000 0.0000 0.3877
Sn1 Sn 0.0000 0.0000 0.2557
```

Calculated values
- Raw total energy: -4.177 eV/atom

# 3
HoThZnSn after structural relaxation. Source: the Alexandria database, functional PBE-GGA.

```
data_HoThZnSn
_symmetry_space_group_name_H-M 'F -4 3 m'
_symmetry_Int_Tables_number 216
_symmetry_space_group_name_Hall 'F -4 2 3'
_cell_length_a 7.465
_cell_length_b 7.465
_cell_length_c 7.465
_cell_angle_alpha 90.00
_cell_angle_beta 90.00
_cell_angle_gamma 90.00
loop_
_atom_site_label
_atom_site_type_symbol
_atom_site_fract_x
_atom_site_fract_y
_atom_site_fract_z
Ho1 Ho 0.000 0.000 0.000
Th1 Th 0.000 0.000 0.500
Zn1 Zn 0.250 0.250 0.750
Sn1 Sn 0.250 0.250 0.250
```

Calculated values
- Raw total energy: -4.680 eV/atom

Which of these has the lowest raw total energy? Ho3ThSn3

Look up the raw total energy of the third one. -4.680 eV/atom

Among the records above, which one has the highest raw total energy? Ho2ThZn2Sn2

Number 3 is which compound? HoThZnSn